A geometry-optimized SiNi4H structure. Source: the Alexandria database, functional GGA-PBE.

polymorph energy (0 for the lowest one) = 30 meV/atom
VASP energy = -33.2 eV/f.u.

Cell lengths 3.6386, 3.6476, 9.1913 Å; angles 90.00, 90.00, 90.00 degrees
With the nearest neighbours (Å) after each atom.
Space group Amm2 (No. 38)
Asymmetric unit:
Si: 0.0000 0.0000 0.0000  8 Ni 2.27-2.31
Ni: 0.0000 0.0000 0.3466  2 H 1.82
Ni: 0.0000 0.0000 0.6481  2 Si 2.28
Ni: 0.5000 0.0000 0.1479  1 H 1.73
Ni: 0.5000 0.0000 0.8469  2 H 1.83
H: 0.5000 0.0000 0.3363  5 Ni 1.73-1.83